Entry P
Entry from the Alexandria database: BaNd2Sm after structural relaxation (GGA-PBE).

Cell: 12.7099 12.7099 12.7099 Å, 17.21 17.21 17.21°
Closest atoms and distances in Å follow each position.
Fractional positions:
Ba (0.0000, 0.0000, 0.0000)  6 Ba 3.80, 6 Nd 4.03-4.04
Nd (0.4233, 0.4233, 0.4233)  3 Sm 3.62, 6 Nd 3.80, 3 Ba 4.03
Nd (0.5763, 0.5763, 0.5763)  3 Sm 3.61, 6 Nd 3.80
Sm (0.8334, 0.8334, 0.8334)  6 Nd 3.61-3.62, 6 Sm 3.80

## Properties
Symmetry = R3m

=====

Entry Q
Entry from the Alexandria database: BaNd2Sm after structural relaxation (GGA-PBE).

Cell: 13.3752 13.3752 13.3752 Å, 15.93 15.93 15.93°
Closest atoms and distances in Å follow each position.
Fractional positions:
Ba (0.0000, 0.0000, 0.0000)  2 Nd 3.69, 6 Ba 3.71
Nd (0.0931, 0.0931, 0.0931)  3 Sm 3.61, 1 Ba 3.69, 6 Nd 3.71
Nd (0.9069, 0.9069, 0.9069)  3 Sm 3.61, 1 Ba 3.69, 6 Nd 3.71
Sm (0.5000, 0.5000, 0.5000)  6 Nd 3.61, 6 Sm 3.71

## Properties
Symmetry = R-3m

=====

Energies relative to the most stable structure, in eV/atom: entry P 0.000; entry Q 0.068.

=====

Entry P
Entry from the Alexandria database: BaNdSm2 after structural relaxation (GGA-PBE).

Cell: 13.2995 13.2995 13.2995 Å, 15.96 15.96 15.96°
Closest atoms and distances in Å follow each position.
Fractional positions:
Ba (0.0000, 0.0000, 0.0000)  2 Sm 3.66, 6 Ba 3.69
Nd (0.5000, 0.5000, 0.5000)  6 Sm 3.60, 6 Nd 3.69
Sm (0.0929, 0.0929, 0.0929)  3 Nd 3.60, 1 Ba 3.66, 6 Sm 3.69
Sm (0.9071, 0.9071, 0.9071)  3 Nd 3.60, 1 Ba 3.66, 6 Sm 3.69

## Properties
Symmetry = R-3m

=====

Entry Q
Entry from the Alexandria database: BaNdSm2 after structural relaxation (GGA-PBE).

Cell: 3.7681 3.7681 11.0068 Å, 90.00 90.00 90.00°
Closest atoms and distances in Å follow each position.
Fractional positions:
Ba (0.0000, 0.0000, 0.0000)  4 Ba 3.77, 8 Sm 4.07
Nd (0.0000, 0.0000, 0.5000)  8 Sm 3.61, 4 Nd 3.77
Sm (0.5000, 0.5000, 0.2793)  4 Nd 3.61, 4 Sm 3.77
Sm (0.5000, 0.5000, 0.7207)  4 Nd 3.61, 4 Sm 3.77

## Properties
Symmetry = P4/mmm

=====

Energies relative to the most stable structure, in eV/atom: entry P 0.079; entry Q 0.000.

=====

Entry P
Entry from the Alexandria database: Ba2SrNd after structural relaxation (GGA-PBE).

Cell: 4.1418 4.1418 11.9839 Å, 90.00 90.00 90.00°
Closest atoms and distances in Å follow each position.
Fractional positions:
Ba (0.0000, 0.0000, 0.2276)  4 Nd 4.00, 4 Ba 4.14, 4 Sr 4.39
Ba (0.0000, 0.0000, 0.7724)  4 Nd 4.00, 4 Ba 4.14, 4 Sr 4.39
Sr (0.5000, 0.5000, 0.5000)  4 Sr 4.14, 8 Ba 4.39
Nd (0.5000, 0.5000, 0.0000)  8 Ba 4.00, 4 Nd 4.14

## Properties
Symmetry = P4/mmm

=====

Entry Q
Entry from the Alexandria database: Ba2SrNd after structural relaxation (GGA-PBE).

Cell: 6.6144 6.6144 6.6144 Å, 60.00 60.00 60.00°
Closest atoms and distances in Å follow each position.
Fractional positions:
Ba (0.2500, 0.2500, 0.2500)  4 Nd 4.05, 4 Sr 4.05
Ba (0.7500, 0.7500, 0.7500)  4 Nd 4.05, 4 Sr 4.05
Sr (0.0000, 0.0000, 0.0000)  8 Ba 4.05
Nd (0.5000, 0.5000, 0.5000)  8 Ba 4.05

## Properties
Symmetry = Fm-3m

=====

Energies relative to the most stable structure, in eV/atom: entry P 0.000; entry Q 0.038.

=====

Entry P
Entry from the Alexandria database: Ba2SrNd after structural relaxation (GGA-PBE).

Cell: 13.7995 13.7995 13.7995 Å, 17.33 17.33 17.33°
Closest atoms and distances in Å follow each position.
Fractional positions:
Ba (0.0000, 0.0000, 0.0000)  3 Nd 3.97, 6 Ba 4.16, 3 Sr 4.38
Ba (0.1546, 0.1546, 0.1546)  3 Nd 3.96, 6 Ba 4.16, 3 Sr 4.35
Sr (0.5769, 0.5769, 0.5769)  6 Sr 4.16, 6 Ba 4.35-4.38
Nd (0.4108, 0.4108, 0.4108)  6 Ba 3.96-3.97, 6 Nd 4.16

## Properties
Symmetry = R3m

=====

Entry Q
Entry from the Alexandria database: Ba2SrNd after structural relaxation (GGA-PBE).

Cell: 6.6374 6.6374 4.6195 Å, 90.00 90.00 90.00°
Closest atoms and distances in Å follow each position.
Fractional positions:
Ba (0.0000, 0.5000, 0.0000)  4 Nd 4.04, 4 Sr 4.04
Ba (0.5000, 0.0000, 0.0000)  4 Nd 4.04, 4 Sr 4.04
Sr (0.0000, 0.0000, 0.5000)  8 Ba 4.04
Nd (0.5000, 0.5000, 0.5000)  8 Ba 4.04

## Properties
Symmetry = P4/mmm

=====

Entry R
Entry from the Alexandria database: Ba2SrNd after structural relaxation (GGA-PBE).

Cell: 14.7742 14.7742 14.7742 Å, 15.65 15.65 15.65°
Closest atoms and distances in Å follow each position.
Fractional positions:
Ba (0.0836, 0.0836, 0.0836)  1 Nd 3.66, 6 Ba 4.02
Ba (0.9164, 0.9164, 0.9164)  1 Nd 3.66, 6 Ba 4.02
Sr (0.5000, 0.5000, 0.5000)  6 Sr 4.02, 6 Ba 4.32
Nd (0.0000, 0.0000, 0.0000)  2 Ba 3.66, 6 Nd 4.02

## Properties
Symmetry = R-3m

=====

Energies relative to the most stable structure, in eV/atom: entry P 0.000; entry Q 0.037; entry R 0.169.

=====

Entry P
Entry from the Alexandria database: BaSrNd after structural relaxation (GGA-PBE).

Cell: 7.1102 7.1102 7.0253 Å, 100.23 100.23 120.58°
Closest atoms and distances in Å follow each position.
Fractional positions:
Ba (0.0887, 0.9113, 0.7500)  5 Sr 3.99-4.15, 5 Nd 4.04-4.18, 2 Ba 4.14
Ba (0.9113, 0.0887, 0.2500)  5 Sr 3.99-4.15, 5 Nd 4.04-4.18, 2 Ba 4.14
Sr (0.4116, 0.5884, 0.7500)  5 Ba 3.99-4.15, 5 Nd 4.04-4.18, 2 Sr 4.14
Sr (0.5884, 0.4116, 0.2500)  5 Ba 3.99-4.15, 5 Nd 4.04-4.18, 2 Sr 4.14
Nd (0.2497, 0.7503, 0.2500)  2 Nd 3.99, 5 Ba 4.04-4.18, 5 Sr 4.04-4.18
Nd (0.7503, 0.2497, 0.7500)  2 Nd 3.99, 5 Ba 4.04-4.18, 5 Sr 4.04-4.18

## Properties
Symmetry = C2/c

=====

Entry Q
Entry from the Alexandria database: BaSrNd after structural relaxation (GGA-PBE).

Cell: 4.0717 4.0717 17.8225 Å, 90.00 90.00 90.00°
Closest atoms and distances in Å follow each position.
Fractional positions:
Ba (0.2500, 0.2500, 0.0970)  8 Ba 4.07-4.50, 4 Sr 4.42
Ba (0.7500, 0.7500, 0.9030)  8 Ba 4.07-4.50, 4 Sr 4.42
Sr (0.2500, 0.2500, 0.7147)  4 Nd 3.98, 4 Sr 4.07, 4 Ba 4.42
Sr (0.7500, 0.7500, 0.2853)  4 Nd 3.98, 4 Sr 4.07, 4 Ba 4.42
Nd (0.2500, 0.2500, 0.4394)  4 Nd 3.60, 4 Sr 3.98
Nd (0.7500, 0.7500, 0.5606)  4 Nd 3.60, 4 Sr 3.98

## Properties
Symmetry = P4/nmm

=====

Entry R
Entry from the Alexandria database: BaSrNd after structural relaxation (GGA-PBE).

Cell: 4.0502 4.0502 10.0451 Å, 90.00 90.00 120.00°
Closest atoms and distances in Å follow each position.
Fractional positions:
Ba (0.0000, 0.0000, 0.0000)  3 Nd 3.99, 6 Ba 4.05, 3 Sr 4.35
Sr (0.3333, 0.6667, 0.6346)  3 Nd 3.92, 6 Sr 4.05, 3 Ba 4.35
Nd (0.6667, 0.3333, 0.3217)  3 Sr 3.92, 3 Ba 3.99, 6 Nd 4.05

## Properties
Symmetry = P3m1

=====

Energies relative to the most stable structure, in eV/atom: entry P 0.123; entry Q 0.000; entry R 0.078.

=====

Entry P
Entry from the Alexandria database: BaTb2Nd after structural relaxation (GGA-PBE).

Cell: 13.1625 13.1625 13.1625 Å, 15.95 15.95 15.95°
Closest atoms and distances in Å follow each position.
Fractional positions:
Ba (0.0000, 0.0000, 0.0000)  2 Tb 3.62, 6 Ba 3.65
Tb (0.0929, 0.0929, 0.0929)  3 Nd 3.56, 1 Ba 3.62, 6 Tb 3.65
Tb (0.9071, 0.9071, 0.9071)  3 Nd 3.56, 1 Ba 3.62, 6 Tb 3.65
Nd (0.5000, 0.5000, 0.5000)  6 Tb 3.56, 6 Nd 3.65

## Properties
Symmetry = R-3m

=====

Entry Q
Entry from the Alexandria database: BaTb2Nd after structural relaxation (GGA-PBE).

Cell: 3.7388 3.7388 10.8832 Å, 90.00 90.00 90.00°
Closest atoms and distances in Å follow each position.
Fractional positions:
Ba (0.0000, 0.0000, 0.0000)  4 Ba 3.74, 8 Tb 4.03
Tb (0.5000, 0.5000, 0.2799)  4 Nd 3.57, 4 Tb 3.74
Tb (0.5000, 0.5000, 0.7201)  4 Nd 3.57, 4 Tb 3.74
Nd (0.0000, 0.0000, 0.5000)  8 Tb 3.57, 4 Nd 3.74

## Properties
Symmetry = P4/mmm

=====

Energies relative to the most stable structure, in eV/atom: entry P 0.076; entry Q 0.000.

=====

Entry P
Entry from the Alexandria database: BaNdTe2 after structural relaxation (GGA-PBE).

Cell: 8.6706 8.6706 8.6706 Å, 30.63 30.63 30.63°
Closest atoms and distances in Å follow each position.
Fractional positions:
Ba (0.0000, 0.0000, 0.0000)  6 Te 3.44-3.56
Nd (0.1725, 0.1725, 0.1725)  6 Te 3.19-3.25
Te (0.5781, 0.5781, 0.5781)  3 Nd 3.19, 3 Ba 3.44
Te (0.7627, 0.7627, 0.7627)  3 Nd 3.25, 3 Ba 3.56

## Properties
Symmetry = R3m

=====

Entry Q
Entry from the Alexandria database: BaNdTe2 after structural relaxation (GGA-PBE).

Cell: 4.0248 4.0248 8.2207 Å, 90.00 90.00 90.00°
Closest atoms and distances in Å follow each position.
Fractional positions:
Ba (0.0000, 0.0000, 0.0000)  8 Te 3.63, 4 Ba 4.02
Nd (0.0000, 0.0000, 0.5000)  8 Te 3.40
Te (0.5000, 0.5000, 0.2738)  4 Nd 3.40, 4 Ba 3.63, 1 Te 3.72
Te (0.5000, 0.5000, 0.7262)  4 Nd 3.40, 4 Ba 3.63, 1 Te 3.72

## Properties
Symmetry = P4/mmm

=====

Energies relative to the most stable structure, in eV/atom: entry P 0.000; entry Q 0.116.

=====

Entry P
Entry from the Alexandria database: BaNd2Th after structural relaxation (GGA-PBE).

Cell: 3.7253 3.7253 11.2194 Å, 90.00 90.00 90.00°
Closest atoms and distances in Å follow each position.
Fractional positions:
Ba (0.0000, 0.0000, 0.0000)  4 Ba 3.73, 8 Nd 4.17
Nd (0.5000, 0.5000, 0.2881)  4 Th 3.55, 4 Nd 3.73
Nd (0.5000, 0.5000, 0.7119)  4 Th 3.55, 4 Nd 3.73
Th (0.0000, 0.0000, 0.5000)  8 Nd 3.55, 4 Th 3.73

## Properties
Symmetry = P4/mmm

=====

Entry Q
Entry from the Alexandria database: BaNd2Th after structural relaxation (GGA-PBE).

Cell: 13.1910 13.1910 13.1910 Å, 16.10 16.10 16.10°
Closest atoms and distances in Å follow each position.
Fractional positions:
Ba (0.0000, 0.0000, 0.0000)  2 Nd 3.69, 6 Ba 3.69
Nd (0.0944, 0.0944, 0.0944)  3 Th 3.54, 1 Ba 3.69, 6 Nd 3.69
Nd (0.9056, 0.9056, 0.9056)  3 Th 3.54, 1 Ba 3.69, 6 Nd 3.69
Th (0.5000, 0.5000, 0.5000)  6 Nd 3.54, 6 Th 3.69

## Properties
Symmetry = R-3m

=====

Energies relative to the most stable structure, in eV/atom: entry P 0.000; entry Q 0.072.